DFT (PBE) results for a geometry-optimized AcCdAg2 structure.

Results
V: 406.9 Å³ per cell
DFT total energy: -2.966 eV per atom
Crystal system: orthorhombic
Space-group type: No. 62
Spin magnetization: 0.0 μB/cell
Formation enthalpy at 0 K: -0.2845 eV/atom
Mass density: 9062 kg/m3

abc: 7.804 4.817 10.824
angles: 90.00 90.00 90.00
Positions (direct):
Ac 0.208 0.250 0.172
Ac 0.292 0.750 0.672
Ac 0.708 0.250 0.328
Ac 0.792 0.750 0.828
Cd 0.045 0.750 0.396
Cd 0.455 0.250 0.896
Cd 0.545 0.750 0.104
Cd 0.955 0.250 0.604
Ag 0.082 0.250 0.861
Ag 0.226 0.750 0.965
Ag 0.274 0.250 0.465
Ag 0.418 0.750 0.361
Ag 0.582 0.250 0.639
Ag 0.726 0.750 0.535
Ag 0.774 0.250 0.035
Ag 0.918 0.750 0.139

DFT (PBE) results for a geometry-optimized Ca2ErPaAs4 structure.

Results
V: 206.3 Å³ per cell
DFT total energy: -5.861 eV per atom
Crystal system: monoclinic
Space-group type: No. 10
Spin magnetization: 0.0 μB/cell
Formation enthalpy at 0 K: -1.2787 eV/atom
Mass density: 6264 kg/m3

abc: 7.178 4.199 7.251
angles: 90.00 109.29 90.00
Positions (direct):
Ca 0.000 0.000 0.000
Ca 0.500 0.500 0.000
Er 0.000 0.500 0.500
Pa 0.500 0.000 0.500
As 0.251 0.000 0.732
As 0.261 0.500 0.269
As 0.739 0.500 0.731
As 0.749 0.000 0.268

DFT (PBE) results for a geometry-optimized DyY2Er3Se6 structure.

Results
V: 283.8 Å³ per cell
DFT total energy: -6.071 eV per atom
Crystal system: monoclinic
Space-group type: No. 12
Spin magnetization: 0.0 μB/cell
Energy relative to the elements, uncorrected: -1.73 eV/atom
Mass density: 7699 kg/m3

abc: 9.079 9.079 8.155
angles: 103.34 103.34 25.76
Positions (direct):
Dy 0.000 0.000 0.000
Y 0.333 0.333 0.667
Y 0.667 0.667 0.333
Er 0.000 0.000 0.500
Er 0.333 0.333 0.167
Er 0.667 0.667 0.833
Se 0.166 0.166 0.586
Se 0.167 0.167 0.080
Se 0.499 0.499 0.252
Se 0.501 0.501 0.748
Se 0.833 0.833 0.920
Se 0.834 0.834 0.414